{"formula": "Ni2C", "functional": "PBE", "state": "relaxed", "sg": "P-3m1 (164)", "n_ef_per_ev_atom": 0.256, "ef_ev_per_atom": 0.32, "final_energy_ev_per_atom": -6.610, "lattice": [[2.908, 0.000, 0.000], [-1.454, 2.519, 0.000], [0.000, 0.000, 3.928]], "species": ["C", "Ni", "Ni"], "frac_coords": [[0.000, 0.000, 0.500], [0.667, 0.333, 0.259], [0.333, 0.667, 0.741]]}